Entry 1:
A plane-wave DFT calculation with PBE was carried out for an optimized crystal structure of BC2S.

Properties
**SG**: Amm2 (38)
**Total DFT energy (no corrections)**: -6.663 eV/atom
**Magnetization**: 0.00 Bohr magnetons per cell

Cell and atoms, written as POSCAR:
```
BC2S
1.0
3.694 0.000 0.000
0.000 1.588 3.687
0.000 -1.588 3.687
B C S
1 2 1
Cartesian
0.000 0.000 0.000
1.159 0.000 1.030
2.534 0.000 1.030
0.000 0.000 2.382
```

---

Entry 2:
A plane-wave DFT calculation with PBE was carried out for an optimized crystal structure of BCS2.

Properties
**SG**: Fm-3m (225)
**Total DFT energy (no corrections)**: -3.727 eV/atom
**Magnetization**: 0.00 Bohr magnetons per cell

Cell and atoms, written as POSCAR:
```
BCS2
1.0
0.000 2.771 2.771
2.771 0.000 2.771
2.771 2.771 0.000
B C S
1 1 2
Cartesian
0.000 0.000 0.000
2.771 2.771 2.771
1.385 1.385 1.385
4.156 4.156 4.156
```

---

Entry 3:
A plane-wave DFT calculation with PBE was carried out for an optimized crystal structure of BC2S.

Properties
**SG**: P1 (1)
**Total DFT energy (no corrections)**: -6.604 eV/atom
**Magnetization**: 0.00 Bohr magnetons per cell

Cell and atoms, written as POSCAR:
```
BC2S
1.0
2.648 0.000 0.000
1.314 3.711 0.000
0.024 1.422 4.780
B C S
1 2 1
Cartesian
0.000 0.000 0.000
2.639 2.889 0.078
2.664 2.952 4.521
2.656 2.413 2.793
```

---

Entry 4:
A plane-wave DFT calculation with PBE was carried out for an optimized crystal structure of BC3S.

Properties
**SG**: Pm-3m (221)
**Total DFT energy (no corrections)**: -4.531 eV/atom
**Magnetization**: 0.00 Bohr magnetons per cell

Cell and atoms, written as POSCAR:
```
BC3S
1.0
3.510 0.000 0.000
0.000 3.510 0.000
0.000 0.000 3.510
B C S
1 3 1
Cartesian
0.000 0.000 0.000
0.000 1.755 1.755
1.755 0.000 1.755
1.755 1.755 0.000
1.755 1.755 1.755
```

---

Entry 5:
A plane-wave DFT calculation with PBE was carried out for an optimized crystal structure of BCS4.

Properties
**SG**: I4_1md (109)
**Total DFT energy (no corrections)**: -5.151 eV/atom
**Magnetization**: 0.00 Bohr magnetons per cell

Cell and atoms, written as POSCAR:
```
BCS4
1.0
-5.515 5.515 3.281
5.515 -5.515 3.281
5.515 5.515 -3.281
B C S
2 2 8
Cartesian
0.000 0.000 0.000
0.000 5.515 1.640
5.515 0.000 1.642
0.000 0.000 3.283
5.515 -1.552 1.653
5.515 1.552 1.653
3.963 5.515 0.012
1.552 0.000 3.293
0.000 3.843 1.631
0.000 7.187 1.631
-3.843 5.515 3.271
3.843 5.515 3.271
```

---

Entry 6:
A plane-wave DFT calculation with PBE was carried out for an optimized crystal structure of BC2S.

Properties
**SG**: P1 (1)
**Total DFT energy (no corrections)**: -6.588 eV/atom
**Magnetization**: 0.02 Bohr magnetons per cell

Cell and atoms, written as POSCAR:
```
BC2S
1.0
2.658 0.000 0.000
1.223 3.607 0.000
1.193 0.495 6.344
B C S
1 2 1
Cartesian
0.000 0.000 0.000
2.540 2.754 0.366
2.600 1.487 0.483
1.211 0.588 4.403
```